Entry 1:
# RbNaTa2Cl

A geometry-optimized RbNaTa2Cl structure (GGA-PBE, Alexandria).

Properties
Formation energy without anion corrections = 1.11 eV per atom
Final energy = -4.46 eV per atom

a = 4.6447 Å, b = 6.1241 Å, c = 4.6447 Å
α = 90.00°, β = 90.00°, γ = 90.00°
Each line ends with the local moment (μB).
Sites, in units of the cell vectors:
Na 0.0000 0.5000 0.0000  0.00
Cl 0.0000 0.0000 0.0000  0.00
Rb 0.5000 0.5000 0.5000  0.01
Ta 0.0000 0.0000 0.5000  0.16
Ta 0.5000 0.0000 0.0000  0.19

***

Entry 2:
# Zr2BeSbMo

A geometry-optimized Zr2BeSbMo structure (GGA-PBE, Alexandria).

Properties
Formation energy without anion corrections = 0.96 eV per atom
Final energy = -6.19 eV per atom

a = 5.0202 Å, b = 5.1010 Å, c = 5.0202 Å
α = 90.00°, β = 90.00°, γ = 90.00°
Sites, in units of the cell vectors:
Sb 0.0000 0.5000 0.0000
Mo 0.0000 0.0000 0.0000
Zr 0.0000 0.0000 0.5000
Zr 0.5000 0.0000 0.0000
Be 0.5000 0.5000 0.5000

***

Entry 3:
# CeMgGePd

A geometry-optimized CeMgGePd structure (GGA-PBE, Alexandria).

Properties
Final energy = -4.93 eV per atom
Distance to the lowest polymorph of the same formula = 0 meV per atom
E_form = -0.5926 eV per atom

a = 4.8830 Å, b = 4.8829 Å, c = 4.8830 Å
α = 60.00°, β = 60.00°, γ = 60.00°
Each line ends with the local moment (μB).
Sites, in units of the cell vectors:
Mg 0.5000 0.5000 0.5000  0.00
Ge 0.2500 0.2500 0.2500  0.00
Pd 0.7500 0.7500 0.7500  -0.01
Ce 0.0000 0.0000 0.0000  0.43

***

Entry 4:
# TlCdCoSn2

A geometry-optimized TlCdCoSn2 structure (GGA-PBE, Alexandria).

Properties
Final energy = -3.61 eV per atom
Distance to the lowest polymorph of the same formula = 0 meV per atom
E_form = 0.0646 eV per atom

a = 4.9115 Å, b = 4.9115 Å, c = 5.1749 Å
α = 90.00°, β = 90.00°, γ = 90.00°
Sites, in units of the cell vectors:
Tl 0.5000 0.5000 0.5000
Co 0.0000 0.0000 0.0000
Sn 0.0000 0.5000 0.0000
Sn 0.5000 0.0000 0.0000
Cd 0.0000 0.0000 0.5000

***

Entry 5:
# TbHgGe

A geometry-optimized TbHgGe structure (GGA-PBE, Alexandria).

Properties
Final energy = -3.66 eV per atom
E_form = -0.4720 eV per atom

a = 4.1278 Å, b = 4.4513 Å, c = 4.4513 Å
α = 120.00°, β = 90.00°, γ = 90.00°
Sites, in units of the cell vectors:
Ge 0.0598 0.0000 0.0000
Tb 0.6792 0.6667 0.3333
Hg 0.2610 0.3333 0.6667

***

Entry 6:
# ZrUPa2C4

A geometry-optimized ZrUPa2C4 structure (GGA-PBE, Alexandria).

Properties
Final energy = -9.92 eV per atom
E_form = -0.4566 eV per atom

a = 3.5046 Å, b = 6.0686 Å, c = 6.1104 Å
α = 109.39°, β = 90.00°, γ = 90.00°
Sites, in units of the cell vectors:
Zr 0.0000 0.0000 0.0000
U 0.5000 0.5000 0.0000
Pa 0.5000 0.0000 0.5000
Pa 0.0000 0.5000 0.5000
C 0.5000 0.2482 0.2388
C 0.5000 0.7518 0.7612
C 0.0000 0.2539 0.7700
C 0.0000 0.7461 0.2300

***

Entry 7:
# MnBr2Cl

A geometry-optimized MnBr2Cl structure (GGA-PBE, Alexandria).

Properties
Formation energy without anion corrections = -0.02 eV per atom
Final energy = -3.61 eV per atom
Distance to the lowest polymorph of the same formula = 698 meV per atom

a = 4.8634 Å, b = 4.8634 Å, c = 4.8788 Å
α = 90.00°, β = 90.00°, γ = 114.26°
Each line ends with the local moment (μB).
Sites, in units of the cell vectors:
Br 0.0000 0.0000 0.0000  0.03
Br 0.5000 0.5000 0.0000  0.03
Cl 0.5000 0.0000 0.5000  0.05
Mn 0.0000 0.5000 0.5000  4.53

***

Entry 8:
# SiOsPt2Rh

A geometry-optimized SiOsPt2Rh structure (GGA-PBE, Alexandria).

Properties
Formation energy without anion corrections = 1.79 eV per atom
Final energy = -5.43 eV per atom

a = 4.8689 Å, b = 4.5460 Å, c = 4.8689 Å
α = 90.00°, β = 90.00°, γ = 90.00°
Each line ends with the local moment (μB).
Sites, in units of the cell vectors:
Rh 0.0000 0.0000 0.0000  0.07
Si 0.5000 0.5000 0.5000  0.00
Os 0.0000 0.5000 0.0000  0.04
Pt 0.0000 0.0000 0.5000  0.06
Pt 0.5000 0.0000 0.0000  0.02

***

Entry 9:
# SrPbAu3

A geometry-optimized SrPbAu3 structure (GGA-PBE, Alexandria).

Properties
Final energy = -3.13 eV per atom
Distance to the lowest polymorph of the same formula = 382 meV per atom
E_form = -0.0835 eV per atom

a = 5.4119 Å, b = 5.4119 Å, c = 5.4119 Å
α = 90.00°, β = 90.00°, γ = 90.00°
Sites, in units of the cell vectors:
Pb 0.0000 0.0000 0.0000
Sr 0.5000 0.5000 0.5000
Au 0.0000 0.5000 0.0000
Au 0.0000 0.0000 0.5000
Au 0.5000 0.0000 0.0000

***

Entry 10:
# Rb2PAuF6

A geometry-optimized Rb2PAuF6 structure (GGA-PBE, Alexandria).

Properties
Formation energy without anion corrections = -2.18 eV per atom
Final energy = -4.36 eV per atom

a = 6.7962 Å, b = 6.7962 Å, c = 6.7942 Å
α = 59.99°, β = 59.99°, γ = 90.00°
Sites, in units of the cell vectors:
P 0.5000 0.5000 0.0000
Au 0.0000 0.0000 0.0000
Rb 0.7500 0.2500 0.5000
Rb 0.2500 0.7500 0.5000
F 0.3291 0.3291 0.3418
F 0.6709 0.6709 0.6582
F 0.3292 0.3292 0.0000
F 0.6708 0.6708 0.0000
F 0.6708 0.3292 0.0000
F 0.3292 0.6708 0.0000

***

Entry 11:
# BaB2I2

A geometry-optimized BaB2I2 structure (GGA-PBE, Alexandria).

Properties
Formation energy without anion corrections = 0.97 eV per atom
Final energy = -2.71 eV per atom
Distance to the lowest polymorph of the same formula = 93 meV per atom

a = 8.9380 Å, b = 8.9380 Å, c = 3.7467 Å
α = 90.00°, β = 90.00°, γ = 90.00°
Each line ends with the local moment (μB).
Sites, in units of the cell vectors:
I 0.3586 0.8586 0.0000  0.03
I 0.8586 0.6414 0.0000  0.03
I 0.6414 0.1414 0.0000  0.03
I 0.1414 0.3586 0.0000  0.03
B 0.2282 0.7282 0.5000  0.17
B 0.7282 0.7718 0.5000  0.17
B 0.7718 0.2718 0.5000  0.17
B 0.2718 0.2282 0.5000  0.17
Ba 0.0000 0.0000 0.0000  0.14
Ba 0.5000 0.5000 0.0000  0.14

***

Entry 12:
# LaTc2W2

A geometry-optimized LaTc2W2 structure (GGA-PBE, Alexandria).

Properties
Final energy = -10.11 eV per atom
Distance to the lowest polymorph of the same formula = 70 meV per atom
E_form = 0.2036 eV per atom

a = 6.0776 Å, b = 6.0776 Å, c = 6.0776 Å
α = 137.16°, β = 137.16°, γ = 62.19°
Sites, in units of the cell vectors:
La 0.0000 0.0000 0.0000
Tc 0.2500 0.7500 0.5000
Tc 0.7500 0.2500 0.5000
W 0.6292 0.6292 0.0000
W 0.3708 0.3708 0.0000

***

| no. | Fermi-level density of states (states/eV/cell) |
| --- | --- |
| 1 | 4.80 |
| 2 | 6.07 |
| 3 | 4.75 |
| 4 | 3.84 |
| 5 | 1.32 |
| 6 | 6.31 |
| 7 | 2.69 |
| 8 | 7.93 |
| 9 | 1.96 |
| 10 | 0.00 |
| 11 | 4.20 |
| 12 | 3.49 |